<one>
Here is crystalline TaNb2Co at its relaxed geometry from Alexandria via LeMat-Bulk. Energies are from PBE.

Calculated values
N(E_F)   1.146 states/eV per atom
V   17.30 Å³ per atom

abc: 7.275 7.275 5.771
angles: 50.92 50.92 90.00
Element x y z (fractional)
Co (0.500, 0.500, 0.000)
Nb (0.161, 0.625, 0.250)
Nb (0.375, 0.411, 0.750)
Ta (0.750, 0.250, 0.500)
Ta (0.000, 0.000, 0.000)
Nb (0.589, 0.125, 0.250)
Co (0.250, 0.750, 0.500)
Nb (0.875, 0.839, 0.750)

=====

<two>
Here is crystalline TaNb2Co at its relaxed geometry from Alexandria via LeMat-Bulk. Energies are from PBE.

Calculated values
N(E_F)   1.058 states/eV per atom
V   16.39 Å³ per atom

abc: 3.233 3.233 6.271
angles: 90.00 90.00 90.00
Site moments in Bohr magnetons follow the coordinates.
Element x y z (fractional)
Nb (0.000, 0.000, 0.236)  -0.01
Co (0.500, 0.500, 0.000)  0.40
Ta (0.500, 0.500, 0.500)  0.00
Nb (0.000, 0.000, 0.764)  -0.01

=====

The calculated energies rank the structures as follows, beginning with the most stable: <two>, <one>.

=====

<one>
Here is crystalline TaNbCo at its relaxed geometry from Alexandria via LeMat-Bulk. Energies are from PBE.

Calculated values
N(E_F)   0.969 states/eV per atom
V   15.77 Å³ per atom

abc: 2.866 2.866 6.106
angles: 103.57 103.57 90.00
Site moments in Bohr magnetons follow the coordinates.
Element x y z (fractional)
Co (0.671, 0.671, 0.341)  0.52
Ta (0.314, 0.314, 0.628)  -0.01
Nb (0.015, 0.015, 0.030)  0.00

=====

<two>
Here is crystalline TaNbCo at its relaxed geometry from Alexandria via LeMat-Bulk. Energies are from PBE.

Calculated values
N(E_F)   1.127 states/eV per atom
V   15.69 Å³ per atom

abc: 4.949 4.961 9.187
angles: 82.28 74.37 60.08
Element x y z (fractional)
Ta (0.580, 0.000, 0.839)
Ta (0.170, 0.500, 0.661)
Co (0.874, 0.500, 0.252)
Co (0.876, 0.000, 0.248)
Ta (0.420, 0.000, 0.161)
Ta (0.330, 0.500, 0.339)
Co (0.626, 0.500, 0.748)
Nb (0.579, 0.843, 0.500)
Nb (0.171, 0.657, 0.000)
Nb (0.829, 0.343, 0.000)
Nb (0.921, 0.157, 0.500)
Co (0.124, 0.000, 0.752)

=====

The calculated energies rank the structures as follows, beginning with the most stable: <two>, <one>.

=====

<one>
Here is crystalline NbCoTc3 at its relaxed geometry from Alexandria via LeMat-Bulk. Energies are from PBE.

Calculated values
N(E_F)   1.787 states/eV per atom
V   20.06 Å³ per atom

abc: 4.646 4.646 4.646
angles: 90.00 90.00 90.00
Element x y z (fractional)
Tc (0.000, 0.000, 0.500)
Co (0.500, 0.500, 0.500)
Nb (0.000, 0.000, 0.000)
Tc (0.000, 0.500, 0.000)
Tc (0.500, 0.000, 0.000)

=====

<two>
Here is crystalline NbCoTc3 at its relaxed geometry from Alexandria via LeMat-Bulk. Energies are from PBE.

Calculated values
N(E_F)   1.748 states/eV per atom
V   16.84 Å³ per atom

abc: 4.383 4.383 4.383
angles: 90.00 90.00 90.00
Site moments in Bohr magnetons follow the coordinates.
Element x y z (fractional)
Co (0.000, 0.000, 0.000)  0.58
Tc (0.000, 0.000, 0.500)  0.16
Nb (0.500, 0.500, 0.500)  0.21
Tc (0.500, 0.000, 0.000)  0.09
Tc (0.000, 0.500, 0.000)  0.17

=====

The calculated energies rank the structures as follows, beginning with the most stable: <two>, <one>.

=====

<one>
Here is crystalline NbCo2Tc2 at its relaxed geometry from Alexandria via LeMat-Bulk. Energies are from PBE.

Calculated values
N(E_F)   1.724 states/eV per atom
V   13.84 Å³ per atom

abc: 7.254 7.254 2.630
angles: 90.00 90.00 90.00
Element x y z (fractional)
Nb (0.000, 0.000, 0.000)
Tc (0.626, 0.126, 0.000)
Tc (0.126, 0.374, 0.000)
Co (0.830, 0.330, 0.500)
Tc (0.874, 0.626, 0.000)
Nb (0.500, 0.500, 0.000)
Tc (0.374, 0.874, 0.000)
Co (0.670, 0.830, 0.500)
Co (0.330, 0.170, 0.500)
Co (0.170, 0.670, 0.500)

=====

<two>
Here is crystalline NbCo2Tc2 at its relaxed geometry from Alexandria via LeMat-Bulk. Energies are from PBE.

Calculated values
N(E_F)   0.996 states/eV per atom
V   13.75 Å³ per atom

abc: 7.209 7.209 2.645
angles: 90.00 90.00 90.00
Element x y z (fractional)
Tc (0.674, 0.826, 0.500)
Tc (0.326, 0.174, 0.500)
Co (0.619, 0.119, 0.000)
Nb (0.500, 0.500, 0.000)
Tc (0.174, 0.674, 0.500)
Co (0.119, 0.381, 0.000)
Tc (0.826, 0.326, 0.500)
Nb (0.000, 0.000, 0.000)
Co (0.381, 0.881, 0.000)
Co (0.881, 0.619, 0.000)

=====

The calculated energies rank the structures as follows, beginning with the most stable: <two>, <one>.

=====

<one>
Here is crystalline NbCo2Tc at its relaxed geometry from Alexandria via LeMat-Bulk. Energies are from PBE.

Calculated values
N(E_F)   1.620 states/eV per atom
V   14.26 Å³ per atom

abc: 6.624 6.624 5.357
angles: 51.81 51.81 90.00
Element x y z (fractional)
Tc (0.000, 0.000, 0.000)
Co (0.375, 0.363, 0.750)
Co (0.637, 0.125, 0.250)
Nb (0.250, 0.750, 0.500)
Tc (0.750, 0.250, 0.500)
Co (0.875, 0.887, 0.750)
Co (0.113, 0.625, 0.250)
Nb (0.500, 0.500, 0.000)

=====

<two>
Here is crystalline NbCo2Tc at its relaxed geometry from Alexandria via LeMat-Bulk. Energies are from PBE.

Calculated values
N(E_F)   2.257 states/eV per atom
V   13.79 Å³ per atom

abc: 4.273 4.273 4.273
angles: 60.00 60.00 60.00
Site moments in Bohr magnetons follow the coordinates.
Element x y z (fractional)
Tc (0.500, 0.500, 0.500)  0.95
Co (0.250, 0.250, 0.250)  1.49
Nb (0.000, 0.000, 0.000)  -0.10
Co (0.750, 0.750, 0.750)  1.49

=====

<three>
Here is crystalline NbCo2Tc at its relaxed geometry from Alexandria via LeMat-Bulk. Energies are from PBE.

Calculated values
N(E_F)   0.767 states/eV per atom
V   13.24 Å³ per atom

abc: 3.705 3.782 3.782
angles: 90.00 90.00 90.00
Element x y z (fractional)
Tc (0.500, 0.500, 0.500)
Nb (0.500, 0.000, 0.000)
Co (0.000, 0.500, 0.000)
Co (0.000, 0.000, 0.500)

=====

The calculated energies rank the structures as follows, beginning with the most stable: <three>, <two>, <one>.

=====

<one>
Here is crystalline NbCo3Te at its relaxed geometry from Alexandria via LeMat-Bulk. Energies are from PBE.

Calculated values
N(E_F)   1.828 states/eV per atom
V   18.45 Å³ per atom

abc: 4.518 4.518 4.518
angles: 90.00 90.00 90.00
Site moments in Bohr magnetons follow the coordinates.
Element x y z (fractional)
Co (0.500, 0.000, 0.000)  1.25
Co (0.000, 0.500, 0.000)  1.11
Te (0.000, 0.000, 0.000)  -0.01
Co (0.000, 0.000, 0.500)  0.94
Nb (0.500, 0.500, 0.500)  1.22

=====

<two>
Here is crystalline NbCo3Te at its relaxed geometry from Alexandria via LeMat-Bulk. Energies are from PBE.

Calculated values
N(E_F)   1.172 states/eV per atom
V   18.38 Å³ per atom

abc: 4.513 4.513 4.513
angles: 90.00 90.00 90.00
Element x y z (fractional)
Nb (0.000, 0.000, 0.000)
Co (0.000, 0.500, 0.000)
Te (0.500, 0.500, 0.500)
Co (0.000, 0.000, 0.500)
Co (0.500, 0.000, 0.000)

=====

The calculated energies rank the structures as follows, beginning with the most stable: <two>, <one>.

=====

<one>
Here is crystalline NbCoTe3 at its relaxed geometry from Alexandria via LeMat-Bulk. Energies are from PBE.

Calculated values
N(E_F)   0.585 states/eV per atom
V   25.38 Å³ per atom

abc: 3.633 6.536 11.648
angles: 113.42 90.00 90.00
Element x y z (fractional)
Nb (0.250, 0.200, 0.543)
Te (0.750, 0.578, 0.633)
Co (0.250, 0.100, 0.151)
Nb (0.750, 0.800, 0.457)
Te (0.250, 0.422, 0.367)
Te (0.750, 0.235, 0.055)
Te (0.750, 0.133, 0.709)
Te (0.250, 0.765, 0.945)
Te (0.250, 0.867, 0.291)
Co (0.750, 0.900, 0.849)

=====

<two>
Here is crystalline NbCoTe3 at its relaxed geometry from Alexandria via LeMat-Bulk. Energies are from PBE.

Calculated values
N(E_F)   0.705 states/eV per atom
V   26.53 Å³ per atom

abc: 9.598 9.598 9.582
angles: 54.69 54.69 21.83
Element x y z (fractional)
Nb (0.976, 0.976, 0.692)
Nb (0.024, 0.024, 0.308)
Co (0.316, 0.316, 0.896)
Te (0.452, 0.452, 0.190)
Te (0.834, 0.834, 0.045)
Te (0.392, 0.392, 0.578)
Te (0.608, 0.608, 0.422)
Co (0.684, 0.684, 0.104)
Te (0.166, 0.166, 0.955)
Te (0.548, 0.548, 0.810)

=====

<three>
Here is crystalline NbCoTe3 at its relaxed geometry from Alexandria via LeMat-Bulk. Energies are from PBE.

Calculated values
N(E_F)   1.285 states/eV per atom
V   23.78 Å³ per atom

abc: 4.917 4.917 4.917
angles: 90.00 90.00 90.00
Element x y z (fractional)
Nb (0.500, 0.500, 0.500)
Co (0.000, 0.000, 0.000)
Te (0.500, 0.000, 0.000)
Te (0.000, 0.000, 0.500)
Te (0.000, 0.500, 0.000)

=====

The calculated energies rank the structures as follows, beginning with the most stable: <two>, <one>, <three>.

=====

<one>
Here is crystalline Ti2NbCo at its relaxed geometry from Alexandria via LeMat-Bulk. Energies are from PBE.

Calculated values
N(E_F)   0.915 states/eV per atom
V   15.55 Å³ per atom

abc: 9.285 9.285 4.510
angles: 90.00 90.00 161.34
Element x y z (fractional)
Co (0.054, 0.946, 0.250)
Ti (0.339, 0.661, 0.750)
Nb (0.190, 0.810, 0.750)
Co (0.946, 0.054, 0.750)
Ti (0.661, 0.339, 0.250)
Nb (0.810, 0.190, 0.250)
Ti (0.444, 0.556, 0.250)
Ti (0.556, 0.444, 0.750)

=====

<two>
Here is crystalline Ti2NbCo at its relaxed geometry from Alexandria via LeMat-Bulk. Energies are from PBE.

Calculated values
N(E_F)   0.856 states/eV per atom
V   16.59 Å³ per atom

abc: 3.891 3.891 5.537
angles: 69.43 69.43 60.00
Element x y z (fractional)
Co (0.680, 0.680, 0.959)
Ti (0.059, 0.059, 0.823)
Nb (0.490, 0.490, 0.531)
Ti (0.271, 0.271, 0.187)

=====

The calculated energies rank the structures as follows, beginning with the most stable: <one>, <two>.

=====

<one>
Here is crystalline Ti2NbCo at its relaxed geometry from Alexandria via LeMat-Bulk. Energies are from PBE.

Calculated values
N(E_F)   1.590 states/eV per atom
V   16.21 Å³ per atom

abc: 2.891 2.891 9.109
angles: 80.87 80.87 60.00
Element x y z (fractional)
Nb (0.000, 0.000, 0.000)
Ti (0.097, 0.097, 0.709)
Ti (0.903, 0.903, 0.291)
Co (0.500, 0.500, 0.500)

=====

<two>
Here is crystalline Ti2NbCo at its relaxed geometry from Alexandria via LeMat-Bulk. Energies are from PBE.

Calculated values
N(E_F)   1.238 states/eV per atom
V   15.05 Å³ per atom

abc: 4.399 4.399 4.399
angles: 60.00 60.00 60.00
Element x y z (fractional)
Ti (0.250, 0.250, 0.250)
Ti (0.750, 0.750, 0.750)
Co (0.000, 0.000, 0.000)
Nb (0.500, 0.500, 0.500)

=====

The calculated energies rank the structures as follows, beginning with the most stable: <two>, <one>.

=====

<one>
Here is crystalline Ti2NbCo at its relaxed geometry from Alexandria via LeMat-Bulk. Energies are from PBE.

Calculated values
N(E_F)   1.073 states/eV per atom
V   15.37 Å³ per atom

abc: 3.025 3.025 6.718
angles: 90.00 90.00 90.00
Element x y z (fractional)
Nb (0.500, 0.500, 0.500)
Ti (0.000, 0.000, 0.217)
Co (0.500, 0.500, 0.000)
Ti (0.000, 0.000, 0.783)

=====

<two>
Here is crystalline Ti2NbCo at its relaxed geometry from Alexandria via LeMat-Bulk. Energies are from PBE.

Calculated values
N(E_F)   0.756 states/eV per atom
V   16.15 Å³ per atom

abc: 6.932 6.932 5.591
angles: 51.69 51.69 90.00
Element x y z (fractional)
Ti (0.375, 0.420, 0.750)
Ti (0.170, 0.625, 0.250)
Co (0.250, 0.750, 0.500)
Nb (0.000, 0.000, 0.000)
Nb (0.750, 0.250, 0.500)
Ti (0.580, 0.125, 0.250)
Ti (0.875, 0.830, 0.750)
Co (0.500, 0.500, 0.000)

=====

<three>
Here is crystalline Ti2NbCo at its relaxed geometry from Alexandria via LeMat-Bulk. Energies are from PBE.

Calculated values
N(E_F)   1.743 states/eV per atom
V   15.25 Å³ per atom

abc: 3.160 4.393 4.393
angles: 90.00 90.00 90.00
Site moments in Bohr magnetons follow the coordinates.
Element x y z (fractional)
Co (0.500, 0.500, 0.500)  0.19
Ti (0.000, 0.500, 0.000)  -0.03
Ti (0.000, 0.000, 0.500)  -0.03
Nb (0.500, 0.000, 0.000)  0.01

=====

The calculated energies rank the structures as follows, beginning with the most stable: <one>, <three>, <two>.

=====

<one>
Here is crystalline Ti3NbCo at its relaxed geometry from Alexandria via LeMat-Bulk. Energies are from PBE.

Calculated values
N(E_F)   1.649 states/eV per atom
V   20.45 Å³ per atom

abc: 4.676 4.676 4.676
angles: 90.00 90.00 90.00
Element x y z (fractional)
Nb (0.000, 0.000, 0.000)
Ti (0.000, 0.000, 0.500)
Ti (0.500, 0.000, 0.000)
Co (0.500, 0.500, 0.500)
Ti (0.000, 0.500, 0.000)

=====

<two>
Here is crystalline Ti3NbCo at its relaxed geometry from Alexandria via LeMat-Bulk. Energies are from PBE.

Calculated values
N(E_F)   1.907 states/eV per atom
V   19.14 Å³ per atom

abc: 4.874 4.874 8.763
angles: 106.15 106.15 90.00
Element x y z (fractional)
Ti (0.126, 0.374, 0.253)
Ti (0.626, 0.874, 0.747)
Co (0.250, 0.750, 0.500)
Co (0.000, 0.000, 0.000)
Nb (0.954, 0.454, 0.909)
Ti (0.309, 0.309, 0.619)
Ti (0.126, 0.879, 0.253)
Nb (0.546, 0.046, 0.091)
Ti (0.121, 0.874, 0.747)
Ti (0.691, 0.691, 0.381)

=====

The calculated energies rank the structures as follows, beginning with the most stable: <two>, <one>.

=====

<one>
Here is crystalline Ti3NbCo at its relaxed geometry from Alexandria via LeMat-Bulk. Energies are from PBE.

Calculated values
N(E_F)   1.378 states/eV per atom
V   17.78 Å³ per atom

abc: 4.463 4.463 4.463
angles: 90.00 90.00 90.00
Element x y z (fractional)
Ti (0.000, 0.500, 0.000)
Co (0.000, 0.000, 0.000)
Nb (0.500, 0.500, 0.500)
Ti (0.500, 0.000, 0.000)
Ti (0.000, 0.000, 0.500)

=====

<two>
Here is crystalline Ti3NbCo at its relaxed geometry from Alexandria via LeMat-Bulk. Energies are from PBE.

Calculated values
N(E_F)   1.271 states/eV per atom
V   15.65 Å³ per atom

abc: 3.081 6.603 8.032
angles: 102.28 101.13 90.01
Element x y z (fractional)
Nb (0.814, 0.061, 0.885)
Ti (0.413, 0.387, 0.084)
Co (0.818, 0.559, 0.894)
Ti (0.217, 0.284, 0.691)
Ti (0.605, 0.488, 0.468)
Ti (0.613, 0.941, 0.484)
Co (0.012, 0.666, 0.281)
Ti (0.226, 0.737, 0.708)
Nb (0.016, 0.163, 0.290)
Ti (0.417, 0.837, 0.091)

=====

The calculated energies rank the structures as follows, beginning with the most stable: <two>, <one>.